Record 1
4
Lattice="-1.290 -3.484 1.724 2.980 -1.693 3.668 -2.691 0.664 4.186" Properties=species:S:1:pos:R:3 comment="TlFe | the Alexandria database | GGA-PBE | optimized geometry" formation_energy_ev_per_atom=0.564 magnetic_moment_mub_per_cell=5.149 total_energy_ev_per_fu=-9.70 pbc="T T T"
Tl -1.346 0.332 2.093
Tl 0.845 -2.588 2.696
Fe -0.235 -3.372 5.166
Fe -0.767 -1.141 4.412

=====

Record 2
3
Lattice="4.381 0.000 0.000 -2.191 3.794 0.000 0.000 0.000 2.853" Properties=species:S:1:pos:R:3 comment="TlFe2 | the Alexandria database | GGA-PBE | optimized geometry" formation_energy_ev_per_atom=0.572 magnetic_moment_mub_per_cell=5.184 total_energy_ev_per_fu=-17.58 pbc="T T T"
Fe 0.000 2.529 1.427
Tl 0.000 0.000 0.000
Fe 2.191 1.265 1.427

=====

Record 3
6
Lattice="-1.878 1.878 7.152 1.878 -1.878 7.152 1.878 1.878 -7.152" Properties=species:S:1:pos:R:3 comment="TlFe2 | the Alexandria database | GGA-PBE | optimized geometry" formation_energy_ev_per_atom=0.722 magnetic_moment_mub_per_cell=8.566 total_energy_ev_per_fu=-17.13 pbc="T T T"
Tl 0.000 1.878 3.576
Tl 0.000 0.000 0.000
Fe 0.000 0.000 5.989
Fe 1.878 0.000 2.413
Fe 0.000 0.000 8.315
Fe 1.878 0.000 4.739

=====

Record 4
12
Lattice="-4.533 -2.401 -0.015 4.184 -2.408 -1.735 1.507 -2.893 7.650" Properties=species:S:1:pos:R:3 comment="TlFe2 | the Alexandria database | GGA-PBE | optimized geometry" formation_energy_ev_per_atom=0.431 magnetic_moment_mub_per_cell=19.428 total_energy_ev_per_fu=-18.00 pbc="T T T"
Tl -0.785 -4.021 3.689
Fe 0.000 0.000 0.000
Fe -0.599 -4.353 0.732
Fe -2.731 -3.125 1.616
Tl 1.367 -2.577 -0.709
Fe 0.753 -1.447 3.825
Fe -0.421 -1.902 1.624
Tl -0.209 -5.125 6.609
Fe 1.579 -5.800 4.276
Tl 1.943 -3.681 2.211
Fe 3.889 -4.576 4.284
Fe 1.757 -3.349 5.168

=====

Record 5
4
Lattice="-2.235 1.377 1.783 0.319 -2.294 2.169 5.619 4.301 3.721" Properties=species:S:1:pos:R:3 comment="TlFe | the Alexandria database | GGA-PBE | optimized geometry" formation_energy_ev_per_atom=0.435 magnetic_moment_mub_per_cell=5.432 total_energy_ev_per_fu=-9.96 pbc="T T T"
Tl 3.143 2.405 2.081
Fe 5.274 4.036 3.492
Fe 3.602 3.031 4.995
Tl 0.114 0.362 2.686

=====

Record 6
6
Lattice="-3.854 -4.122 -2.834 -1.042 -4.703 -4.083 -0.135 -7.548 3.209" Properties=species:S:1:pos:R:3 comment="Tl2Fe | the Alexandria database | GGA-PBE | optimized geometry" formation_energy_ev_per_atom=0.424 magnetic_moment_mub_per_cell=5.441 total_energy_ev_per_fu=-11.92 pbc="T T T"
Fe -4.004 -7.343 -5.596
Tl -2.761 -10.709 -1.233
Tl -2.270 -5.664 -2.474
Tl -4.196 -12.248 -3.746
Fe -1.028 -9.030 1.889
Tl -0.836 -4.125 0.039

=====

Record 7
11
Lattice="-2.153 4.237 2.589 -3.929 -4.224 3.644 8.600 -0.582 2.448" Properties=species:S:1:pos:R:3 comment="Tm8Tl2Fe | the Alexandria database | GGA-PBE | optimized geometry" formation_energy_ev_per_atom=-0.116 magnetic_moment_mub_per_cell=0.000 total_energy_ev_per_fu=-50.24 pbc="T T T"
Tm 3.668 -1.311 5.196
Tm -2.617 -1.327 5.651
Tm -1.151 0.742 3.486
Tm -2.876 -3.239 2.907
Tm 5.134 0.757 3.031
Tm 1.949 -0.454 2.363
Tm 5.393 2.669 5.775
Fe -1.077 2.118 1.295
Tl 2.498 1.802 4.785
Tl 0.019 -2.372 3.897
Tm 0.568 -0.116 6.318

=====

Record 8
4
Lattice="3.314 0.000 0.000 0.000 3.314 0.000 0.000 0.000 8.089" Properties=species:S:1:pos:R:3 comment="Tm2TlFe | the Alexandria database | GGA-PBE | optimized geometry" formation_energy_ev_per_atom=-0.147 magnetic_moment_mub_per_cell=0.001 total_energy_ev_per_fu=-20.36 pbc="T T T"
Tm 0.000 0.000 1.586
Fe 1.657 1.657 0.000
Tm 0.000 0.000 6.503
Tl 1.657 1.657 4.045

=====

Record 9
4
Lattice="-2.540 1.832 -1.685 -0.028 0.145 -3.554 -6.492 -7.416 -2.031" Properties=species:S:1:pos:R:3 comment="Tm2TlFe | the Alexandria database | GGA-PBE | optimized geometry" formation_energy_ev_per_atom=0.177 magnetic_moment_mub_per_cell=0.958 total_energy_ev_per_fu=-19.07 pbc="T T T"
Tm -4.645 -4.770 -1.938
Fe -4.530 -2.719 -3.635
Tl 0.000 0.000 0.000
Tm -4.415 -0.668 -5.331

=====

Record 10
6
Lattice="5.056 0.000 0.000 2.528 4.379 0.000 2.528 1.460 4.128" Properties=species:S:1:pos:R:3 comment="TmTlFe4 | the Alexandria database | GGA-PBE | optimized geometry" formation_energy_ev_per_atom=0.031 magnetic_moment_mub_per_cell=7.947 total_energy_ev_per_fu=-40.50 pbc="T T T"
Tl 2.528 1.460 1.032
Fe 6.322 3.650 2.581
Fe 5.056 1.458 2.581
Tm 0.000 0.000 0.000
Fe 3.791 3.650 2.581
Fe 5.056 2.919 0.514

=====

Record 11
16
Lattice="-6.294 -3.155 -1.818 1.886 0.281 -7.017 5.312 -5.095 4.991" Properties=species:S:1:pos:R:3 comment="Tm5TlFe2 | the Alexandria database | GGA-PBE | optimized geometry" formation_energy_ev_per_atom=-0.144 magnetic_moment_mub_per_cell=0.002 total_energy_ev_per_fu=-42.80 pbc="T T T"
Tm -1.892 -3.603 -6.860
Tm -2.204 -1.437 -4.417
Tm 4.669 -3.759 -0.223
Fe 0.061 -0.230 -2.948
Fe -0.785 -0.986 -6.973
Fe -4.469 -2.644 -5.887
Tm -0.071 -5.901 1.072
Tm -3.764 -4.210 -3.620
Tm 2.797 -4.365 3.017
Tl -0.650 -4.703 -4.131
Tl 1.554 -3.266 0.287
Fe -3.622 -1.887 -1.862
Tm 1.800 -5.295 -2.168
Tm 0.976 -2.067 -4.916
Tm -0.896 -2.674 -1.676
Tm 0.000 0.000 0.000

=====

Record 12
12
Lattice="-5.216 2.706 0.997 -0.957 -8.388 -3.022 3.111 0.690 6.974" Properties=species:S:1:pos:R:3 comment="Tm4TlFe | the Alexandria database | GGA-PBE | optimized geometry" formation_energy_ev_per_atom=-0.179 magnetic_moment_mub_per_cell=0.000 total_energy_ev_per_fu=-29.79 pbc="T T T"
Fe 0.849 -7.018 4.192
Tm 1.990 -0.828 5.402
Tm -2.651 -3.565 3.270
Fe -3.912 2.026 0.756
Tm -0.882 -6.372 2.250
Tm -2.181 1.380 2.699
Tm 0.659 -4.169 4.202
Tm -5.052 -4.163 -0.454
Tm -3.722 -0.822 0.746
Tl -1.286 -0.928 4.697
Tm -0.412 -1.427 1.679
Tl -1.777 -4.063 0.252

=====

Record 13
20
Lattice="-2.569 4.872 -2.056 -7.833 -3.876 0.601 -1.059 3.666 9.835" Properties=species:S:1:pos:R:3 comment="Tm6Tl3Fe | the Alexandria database | GGA-PBE | optimized geometry" formation_energy_ev_per_atom=-0.132 magnetic_moment_mub_per_cell=0.000 total_energy_ev_per_fu=-43.71 pbc="T T T"
Tm -8.888 5.118 7.723
Tm -3.748 4.128 4.498
Fe -5.730 2.331 4.190
Fe 0.000 0.000 0.000
Tm -2.572 -0.457 0.657
Tm -3.472 0.829 4.296
Tl -9.277 2.120 6.532
Tl -0.529 1.833 4.917
Tl -5.254 -1.056 2.473
Tm -5.369 2.329 1.727
Tm -7.681 -1.183 0.311
Tm -7.988 3.832 4.084
Tm -6.091 2.333 6.653
Tl -5.201 0.498 -0.727
Tm -9.884 1.432 0.941
Tl -2.183 2.542 1.848
Tm -3.779 5.844 8.070
Tm -1.576 3.229 7.439
Tm -7.713 0.533 3.883
Tl -6.207 5.717 5.907

=====

Record 14
4
Lattice="0.000 3.016 3.016 3.016 0.000 3.016 3.016 3.016 0.000" Properties=species:S:1:pos:R:3 comment="TlVFe2 | the Alexandria database | GGA-PBE | optimized geometry" formation_energy_ev_per_atom=0.421 magnetic_moment_mub_per_cell=0.003 total_energy_ev_per_fu=-26.73 pbc="T T T"
Tl 3.016 3.016 3.016
V 0.000 0.000 0.000
Fe 1.508 1.508 1.508
Fe 4.523 4.523 4.523

=====

Record 15
4
Lattice="1.700 -2.342 3.379 -2.447 -0.752 3.639 -1.517 -4.094 0.854" Properties=species:S:1:pos:R:3 comment="TlV2Fe | the Alexandria database | GGA-PBE | optimized geometry" formation_energy_ev_per_atom=0.484 magnetic_moment_mub_per_cell=0.355 total_energy_ev_per_fu=-27.13 pbc="T T T"
V -1.698 -5.392 5.903
Tl -1.132 -3.594 3.935
V -0.566 -1.797 1.968
Fe 0.000 0.000 0.000

=====

Record 16
8
Lattice="-6.489 1.964 1.154 -1.859 -2.552 -6.110 -4.692 -2.683 -1.322" Properties=species:S:1:pos:R:3 comment="TlVFe2 | the Alexandria database | GGA-PBE | optimized geometry" formation_energy_ev_per_atom=0.698 magnetic_moment_mub_per_cell=4.911 total_energy_ev_per_fu=-25.62 pbc="T T T"
V -4.174 -0.294 -2.478
Fe -10.728 -2.396 -5.014
Tl -7.678 -0.506 -1.323
Fe -5.128 0.137 -0.432
Fe -6.745 -2.364 -3.164
V -5.363 -2.765 -4.955
Fe -3.479 -1.920 -3.946
Tl 0.000 0.000 0.000

=====

Record 17
8
Lattice="-3.498 -2.774 -5.383 6.019 -2.276 -2.739 1.011 -4.776 -2.739" Properties=species:S:1:pos:R:3 comment="TlV2Fe | the Alexandria database | GGA-PBE | optimized geometry" formation_energy_ev_per_atom=0.594 magnetic_moment_mub_per_cell=0.001 total_energy_ev_per_fu=-26.69 pbc="T T T"
Tl 0.000 0.000 0.000
Fe 1.260 -2.525 -4.061
Tl -0.614 -5.037 -6.092
Fe 4.145 -4.789 -4.769
V -0.947 -3.027 -4.032
V 2.561 -7.849 -8.978
V 2.106 -5.628 -5.283
V 3.343 -3.149 -3.429

=====

Record 18
5
Lattice="4.779 0.000 0.000 0.000 4.979 0.000 0.000 0.000 4.779" Properties=species:S:1:pos:R:3 comment="ZrTlVFe2 | the Alexandria database | GGA-PBE | optimized geometry" formation_energy_ev_per_atom=1.570 magnetic_moment_mub_per_cell=7.169 total_energy_ev_per_fu=-29.11 pbc="T T T"
Zr 2.390 2.490 2.390
Fe 2.390 0.000 0.000
V 0.000 2.490 0.000
Fe 0.000 0.000 2.390
Tl 0.000 0.000 0.000

=====

Record 19
5
Lattice="4.974 0.000 0.000 0.000 4.603 0.000 0.000 0.000 4.974" Properties=species:S:1:pos:R:3 comment="ZrTl2VFe | the Alexandria database | GGA-PBE | optimized geometry" formation_energy_ev_per_atom=0.949 magnetic_moment_mub_per_cell=0.692 total_energy_ev_per_fu=-26.12 pbc="T T T"
Tl 0.000 0.000 2.487
Fe 0.000 0.000 0.000
Zr 0.000 2.301 0.000
V 2.487 2.301 2.487
Tl 2.487 0.000 0.000

=====

Record 20
4
Lattice="9.546 0.066 0.039 9.035 3.082 0.039 9.035 1.531 2.675" Properties=species:S:1:pos:R:3 comment="Tl2FeW | the Alexandria database | GGA-PBE | optimized geometry" formation_energy_ev_per_atom=0.914 magnetic_moment_mub_per_cell=2.712 total_energy_ev_per_fu=-22.49 pbc="T T T"
Tl 13.706 2.323 1.367
Fe 20.711 3.510 2.065
W 6.904 1.170 0.688
Tl 0.101 0.017 0.010

=====

Record 21
4
Lattice="-0.710 -4.462 0.357 -0.379 -1.914 4.091 -4.018 -1.550 1.413" Properties=species:S:1:pos:R:3 comment="TlFeW2 | the Alexandria database | GGA-PBE | optimized geometry" formation_energy_ev_per_atom=0.971 magnetic_moment_mub_per_cell=1.981 total_energy_ev_per_fu=-32.85 pbc="T T T"
Fe 0.000 0.000 0.000
W -1.277 -1.982 1.465
W -3.830 -5.945 4.396
Tl -2.554 -3.963 2.931

=====

Record 22
5
Lattice="4.968 0.000 0.000 0.000 4.968 0.000 0.000 0.000 4.968" Properties=species:S:1:pos:R:3 comment="Tl3FeW | the Alexandria database | GGA-PBE | optimized geometry" formation_energy_ev_per_atom=1.713 magnetic_moment_mub_per_cell=0.160 total_energy_ev_per_fu=-19.95 pbc="T T T"
Tl 0.000 2.484 0.000
Fe 0.000 0.000 0.000
Tl 0.000 0.000 2.484
W 2.484 2.484 2.484
Tl 2.484 0.000 0.000

=====

Record 23
6
Lattice="0.000 4.248 4.248 4.248 0.000 4.248 4.248 4.248 0.000" Properties=species:S:1:pos:R:3 comment="Tl4FeW | the Alexandria database | GGA-PBE | optimized geometry" formation_energy_ev_per_atom=1.494 magnetic_moment_mub_per_cell=5.945 total_energy_ev_per_fu=-21.92 pbc="T T T"
Tl 3.186 3.186 3.186
Tl 5.310 5.310 3.186
Tl 3.186 5.310 5.310
Tl 5.310 3.186 5.310
W 6.372 6.372 6.372
Fe 0.000 0.000 0.000

=====

Record 24
4
Lattice="-4.880 0.839 0.919 -3.965 -1.216 2.857 0.268 3.802 3.904" Properties=species:S:1:pos:R:3 comment="Tl2FeW | the Alexandria database | GGA-PBE | optimized geometry" formation_energy_ev_per_atom=0.983 magnetic_moment_mub_per_cell=2.875 total_energy_ev_per_fu=-22.21 pbc="T T T"
Tl -4.341 1.696 3.848
Fe -2.144 0.856 1.920
W -6.433 2.569 5.761
Tl -8.793 -0.360 3.770

=====

Record 25
5
Lattice="-0.413 3.926 -2.605 -3.478 1.510 2.827 3.178 2.163 2.755" Properties=species:S:1:pos:R:3 comment="TlFe3W | the Alexandria database | GGA-PBE | optimized geometry" formation_energy_ev_per_atom=2.325 magnetic_moment_mub_per_cell=5.380 total_energy_ev_per_fu=-29.08 pbc="T T T"
W -0.357 3.799 1.488
Fe 1.589 1.081 1.378
Fe -0.207 1.963 -1.303
Tl 0.000 0.000 0.000
Fe -1.739 0.755 1.413

=====

Record 26
4
Lattice="-2.914 -0.044 -0.297 -0.285 -0.520 2.869 -0.289 8.732 1.554" Properties=species:S:1:pos:R:3 comment="Tl2FeW | the Alexandria database | GGA-PBE | optimized geometry" formation_energy_ev_per_atom=1.012 magnetic_moment_mub_per_cell=2.811 total_energy_ev_per_fu=-22.10 pbc="T T T"
Fe -1.816 6.267 2.452
Tl -0.149 4.482 0.798
Tl -0.286 8.616 1.534
W -1.671 1.901 1.674